! SbAsW2 GGA-PBE relaxed; values from VASP
&SYSTEM
  ibrav = 0, nat = 4, ntyp = 3
/
ATOMIC_SPECIES
W 183.84 W.upf
As 74.92 As.upf
Sb 121.76 Sb.upf
CELL_PARAMETERS angstrom
5.230 -0.044 0.010
-1.928 4.861 0.010
0.768 1.121 2.855
ATOMIC_POSITIONS angstrom
W 1.651 2.408 0.010
As 2.999 0.538 1.432
Sb -0.580 2.991 1.432
W 0.000 0.000 0.000
! **DFT total energy**: -31.23 eV per cell
! **Space group**: C2/m, No. 12
! **Polymorph energy (0 for the lowest one)**: 0.630 eV per atom
! **Fermi-level density of states**: 3.15 states/eV per cell
! **E_form (uncorrected)**: 333 kJ/mol of formula units

***

! SbAsW2 GGA-PBE relaxed; values from VASP
&SYSTEM
  ibrav = 0, nat = 4, ntyp = 3
/
ATOMIC_SPECIES
Sb 121.76 Sb.upf
W 183.84 W.upf
As 74.92 As.upf
CELL_PARAMETERS angstrom
4.425 0.000 -0.006
3.307 2.940 -0.006
1.223 0.465 5.671
ATOMIC_POSITIONS angstrom
Sb 2.239 0.851 1.415
W 4.506 1.713 3.159
As 6.716 2.553 4.245
W 1.194 0.454 5.341
! **DFT total energy**: -32.53 eV per cell
! **Space group**: C2/m, No. 12
! **Polymorph energy (0 for the lowest one)**: 0.305 eV per atom
! **Fermi-level density of states**: 2.23 states/eV per cell
! **E_form (uncorrected)**: 207 kJ/mol of formula units

***

! Sb2AsW GGA-PBE relaxed; values from VASP
&SYSTEM
  ibrav = 0, nat = 4, ntyp = 3
/
ATOMIC_SPECIES
Sb 121.76 Sb.upf
As 74.92 As.upf
W 183.84 W.upf
CELL_PARAMETERS angstrom
-3.494 3.554 0.008
-0.306 -0.402 4.958
4.152 1.022 -1.858
ATOMIC_POSITIONS angstrom
Sb 0.927 1.155 2.720
As -0.481 2.902 0.533
Sb -3.421 3.462 0.122
W -2.067 1.783 2.223
! **DFT total energy**: -22.92 eV per cell
! **Space group**: Imm2, No. 44
! **Fermi-level density of states**: 2.85 states/eV per cell
! **E_form (uncorrected)**: 282 kJ/mol of formula units

***

! Sb2AsW GGA-PBE relaxed; values from VASP
&SYSTEM
  ibrav = 0, nat = 8, ntyp = 3
/
ATOMIC_SPECIES
As 74.92 As.upf
W 183.84 W.upf
Sb 121.76 Sb.upf
CELL_PARAMETERS angstrom
6.323 0.000 0.000
0.000 6.323 0.000
3.162 3.162 6.097
ATOMIC_POSITIONS angstrom
As 3.162 3.162 0.000
W 6.323 3.162 3.049
Sb 4.868 1.581 1.524
As 3.162 6.323 3.049
Sb 4.742 4.617 4.573
W 0.000 0.000 0.000
Sb 1.455 4.742 1.524
Sb 7.904 8.029 4.573
! **DFT total energy**: -44.82 eV per cell
! **Space group**: I-42d, No. 122
! **Fermi-level density of states**: 7.61 states/eV per cell
! **E_form (uncorrected)**: 332 kJ/mol of formula units